The following is a DFT calculation (PBE-GGA) of crystalline GaAg2PbAu4 at its relaxed geometry.

It has space group R-3m (No. 166, hexagonal axes), with a = 4.7638 Å, b = 4.7638 Å, c = 23.8369 Å, α = 90.00°, β = 90.00° and γ = 120.00°. The asymmetric unit holds Ga at (0.0000, 0.0000, 0.0000), Ag at (0.0000, 0.0000, 0.2463), Pb at (0.0000, 0.0000, 0.5000), Au at (0.0000, 0.0000, 0.1120) and Au at (0.0000, 0.0000, 0.3661).

***

The following is a DFT calculation (PBE-GGA) of crystalline Co2P at its relaxed geometry.

It has space group P-62m (No. 189), with a = 5.7224 Å, b = 5.7224 Å, c = 3.4072 Å, α = 90.00°, β = 90.00° and γ = 120.00°. The asymmetric unit holds Co at (0.0000, 0.3985, 0.0000), Co at (0.0000, 0.7412, 0.5000), P at (0.0000, 0.0000, 0.0000) and P at (0.3333, 0.6667, 0.5000).

***

The following is a DFT calculation (PBE-GGA) of crystalline NdCu6Ni4 at its relaxed geometry.

It has space group I-42m (No. 121), with a = 6.1238 Å, b = 6.1238 Å, c = 8.6829 Å, α = 90.00°, β = 90.00° and γ = 90.00°. The asymmetric unit holds Nd at (0.0000, 0.0000, 0.0000), Cu at (0.0000, 0.5000, 0.0000), Cu at (0.1496, 0.1496, 0.4053) and Ni at (0.2170, 0.2170, 0.6789).

***

Number 1: V 156.2 Å³/f.u., formation energy from the elements -0.03 eV per atom. Number 2: V 32.2 Å³/f.u., formation energy from the elements -0.50 eV per atom. Number 3: V 162.8 Å³/f.u., formation energy from the elements 0.22 eV per atom.